YPb3S | PBE | optimized geometry

Cell and atoms, written as extended XYZ:
```
5
Lattice="5.9360 0.0000 0.0000 0.0000 5.9360 0.0000 0.0000 0.0000 5.9360" Properties=species:S:1:pos:R:3 pbc="T T T"
Y 0.0000 0.0000 0.0000
Pb 0.0000 0.0000 2.9680
Pb 0.0000 2.9680 0.0000
Pb 2.9680 0.0000 0.0000
S 2.9680 2.9680 2.9680
```

Computed properties:
- Density of states at the Fermi level: 8.503 states/eV per cell
- Final energy: -3.608 eV/atom
- Energy relative to the elements, uncorrected: 0.735 eV/atom
- SG: Pm-3m, No. 221
- E above lowest polymorph: 650.3 meV per atom



YPbS3 | PBE | optimized geometry

Cell and atoms, written as extended XYZ:
```
5
Lattice="5.2139 0.0000 0.0000 0.0000 5.2139 0.0000 0.0000 0.0000 5.2139" Properties=species:S:1:pos:R:3 pbc="T T T"
Y 0.0000 0.0000 0.0000
Pb 2.6069 2.6069 2.6069
S 0.0000 0.0000 2.6069
S 0.0000 2.6069 0.0000
S 2.6069 0.0000 0.0000
```

Computed properties:
- Density of states at the Fermi level: 3.703 states/eV per cell
- Final energy: -5.247 eV/atom
- Energy relative to the elements, uncorrected: -0.736 eV/atom
- SG: Pm-3m, No. 221
- E above lowest polymorph: 321.4 meV per atom



Y3Pb5S12 | PBE | optimized geometry

Cell and atoms, written as extended XYZ:
```
80
Lattice="-8.1373 8.1373 8.1373 8.1373 -8.1373 8.1373 8.1373 8.1373 -8.1373" Properties=species:S:1:pos:R:3 pbc="T T T"
Y 4.0687 2.0343 0.0000
Y 8.1373 4.0687 -2.0343
Y 2.0343 0.0000 4.0687
Y 10.1717 0.0000 4.0687
Y 0.0000 4.0687 2.0343
Y 4.0687 -2.0343 8.1373
Y 4.0687 10.1717 0.0000
Y 8.1373 4.0687 6.1030
Y -2.0343 8.1373 4.0687
Y 6.1030 8.1373 4.0687
Y 0.0000 4.0687 10.1717
Y 4.0687 6.1030 8.1373
Pb 0.0000 0.0000 0.0000
Pb 4.0687 4.0687 -4.0687
Pb 4.0687 -4.0687 4.0687
Pb 8.1373 0.0000 0.0000
Pb 12.2060 2.0343 0.0000
Pb 8.1373 -4.0687 6.1030
Pb 6.1030 8.1373 -4.0687
Pb 6.1030 0.0000 4.0687
Pb 4.0687 6.1030 0.0000
Pb 8.1373 4.0687 2.0343
Pb -4.0687 4.0687 4.0687
Pb 0.0000 8.1373 0.0000
Pb 0.0000 0.0000 8.1373
Pb 4.0687 4.0687 4.0687
Pb 0.0000 4.0687 6.1030
Pb 4.0687 2.0343 8.1373
Pb 2.0343 8.1373 4.0687
Pb 2.0343 0.0000 12.2060
Pb 0.0000 12.2060 2.0343
Pb -4.0687 6.1030 8.1373
S 2.5666 -0.2262 1.1671
S 9.6394 5.2358 -4.2948
S 7.9112 -1.1671 2.5666
S 10.7040 0.2262 1.1671
S 9.6394 -2.9015 4.2948
S 12.4322 -1.5020 2.9015
S 1.1671 2.5666 -0.2262
S 11.0389 3.8425 -1.5020
S 5.2358 4.2948 -1.5020
S 6.9702 2.5666 0.2262
S -0.2262 1.1671 2.5666
S 4.2948 -1.5020 5.2358
S 7.9112 6.9702 -2.5666
S 4.2948 1.5020 2.9015
S 5.2358 -4.2948 9.6394
S 6.9702 -2.5666 7.9112
S 2.9015 4.2948 1.5020
S 9.3045 5.5707 0.2262
S 2.5666 7.9112 -1.1671
S 4.2948 9.6394 -2.9015
S 7.9112 1.1671 5.5707
S 9.6394 2.9015 3.8425
S 1.5020 2.9015 4.2948
S 2.5666 0.2262 6.9702
S 5.5707 7.9112 1.1671
S 6.6353 5.2358 3.8425
S -1.5020 5.2358 4.2948
S 0.2262 6.9702 2.5666
S 3.8425 -1.5020 11.0389
S 5.5707 0.2262 9.3045
S -1.1671 2.5666 7.9112
S 5.2358 3.8425 6.6353
S 1.1671 10.7040 0.2262
S 2.9015 12.4322 -1.5020
S 3.8425 6.6353 5.2358
S 0.2262 1.1671 10.7040
S 3.8425 9.6394 2.9015
S 8.3635 6.9702 5.5707
S 1.1671 5.5707 7.9112
S 2.9015 3.8425 9.6394
S -2.9015 4.2948 9.6394
S 6.9702 5.5707 8.3635
S -4.2948 9.6394 5.2358
S -1.5020 11.0389 3.8425
S -2.5666 7.9112 6.9702
S 0.2262 9.3045 5.5707
S -1.5020 2.9015 12.4322
S 5.5707 8.3635 6.9702
```

Computed properties:
- Density of states at the Fermi level: 42.211 states/eV per cell
- Final energy: -5.160 eV/atom
- Energy relative to the elements, uncorrected: -0.787 eV/atom
- SG: Ia-3d, No. 230



YPb2S4 | PBE | optimized geometry

Cell and atoms, written as extended XYZ:
```
14
Lattice="1.9506 -6.8527 0.0000 1.9506 6.8527 0.0000 0.0000 0.0000 13.3697" Properties=species:S:1:pos:R:3 pbc="T T T"
Y 1.9506 5.2697 10.0273
Y 1.9506 -5.2697 3.3424
Pb 1.9506 1.8029 7.6019
Pb 1.9506 1.8029 12.4527
Pb 1.9506 -1.8029 0.9171
Pb 1.9506 -1.8029 5.7678
S 0.0000 0.0000 0.0000
S 0.0000 0.0000 6.6849
S 1.9506 2.8862 1.7529
S 1.9506 2.8862 4.9319
S 1.9506 0.3382 10.0273
S 1.9506 -0.3382 3.3424
S 1.9506 -2.8862 8.4378
S 1.9506 -2.8862 11.6168
```

Computed properties:
- Density of states at the Fermi level: 8.477 states/eV per cell
- Final energy: -5.249 eV/atom
- Energy relative to the elements, uncorrected: -0.908 eV/atom
- SG: Cmcm, No. 63
- E above lowest polymorph: 0.0 meV per atom



Y6PbS4 | PBE | optimized geometry

Cell and atoms, written as extended XYZ:
```
22
Lattice="1.9862 -6.5559 0.0000 1.9862 6.5559 0.0000 0.0000 0.0000 20.1589" Properties=species:S:1:pos:R:3 pbc="T T T"
Y 0.0000 0.0000 0.0000
Y 0.0000 0.0000 10.0795
Y 1.9862 4.5787 15.1192
Y 1.9862 2.9973 1.6814
Y 1.9862 2.9973 8.3981
Y 1.9862 0.5119 13.2520
Y 1.9862 0.5119 16.9864
Y 1.9862 -0.5119 3.1725
Y 1.9862 -0.5119 6.9069
Y 1.9862 -2.9973 11.7608
Y 1.9862 -2.9973 18.4775
Y 1.9862 -4.5787 5.0397
Pb 1.9862 4.3903 5.0397
Pb 1.9862 -4.3903 15.1192
S 1.9862 5.3192 12.5264
S 1.9862 5.3192 17.7120
S 1.9862 1.8060 10.8695
S 1.9862 1.8060 19.3689
S 1.9862 -1.8060 0.7900
S 1.9862 -1.8060 9.2894
S 1.9862 -5.3192 2.4469
S 1.9862 -5.3192 7.6325
```

Computed properties:
- Density of states at the Fermi level: 13.287 states/eV per cell
- Final energy: -6.956 eV/atom
- Energy relative to the elements, uncorrected: -1.592 eV/atom
- SG: Cmcm, No. 63



Y3PbS | PBE | optimized geometry

Cell and atoms, written as extended XYZ:
```
5
Lattice="5.1887 0.0000 0.0000 0.0000 5.1887 0.0000 0.0000 0.0000 5.1887" Properties=species:S:1:pos:R:3 pbc="T T T"
Y 0.0000 0.0000 2.5944
Y 0.0000 2.5944 0.0000
Y 2.5944 0.0000 0.0000
Pb 2.5944 2.5944 2.5944
S 0.0000 0.0000 0.0000
```

Computed properties:
- Density of states at the Fermi level: 4.541 states/eV per cell
- Final energy: -6.325 eV/atom
- Energy relative to the elements, uncorrected: -0.880 eV/atom
- SG: Pm-3m, No. 221
- E above lowest polymorph: 95.0 meV per atom